This record from Alexandria via LeMat-Bulk describes a relaxed CrTc2Pt crystal. The functional is PBE.

Calculated values
Energy relative to the elements ... 108.6 meV/atom
Space group ... P4/mmm
E above lowest polymorph ... 206 meV/atom
Crystal system ... tetragonal

The structure in extended XYZ format:
```
4
Lattice="3.1850 0.0000 0.0000 0.0000 3.1850 0.0000 0.0000 0.0000 5.6655" Properties=species:S:1:pos:R:3 pbc="T T T"
Cr 0.0000 0.0000 0.0000
Tc 1.5925 1.5925 1.2459
Tc 1.5925 1.5925 4.4196
Pt 0.0000 0.0000 2.8327
```

This record from Alexandria via LeMat-Bulk describes a relaxed Be2TlAg crystal. The functional is PBE.

Calculated values
Energy relative to the elements ... 632.2 meV/atom
Space group ... C2/m
E above lowest polymorph ... 241 meV/atom
Crystal system ... monoclinic

The structure in extended XYZ format:
```
4
Lattice="2.7743 -4.2593 0.0000 2.7743 4.2593 0.0000 -1.4262 0.0000 2.8463" Properties=species:S:1:pos:R:3 pbc="T T T"
Be 1.3872 2.1296 0.0000
Be 1.3872 -2.1296 0.0000
Tl 0.0000 0.0000 0.0000
Ag 2.7743 0.0000 0.0000
```

This record from Alexandria via LeMat-Bulk describes a relaxed YHoPd14 crystal. The functional is PBE.

Calculated values
Energy relative to the elements ... -410.8 meV/atom
Space group ... P4/mmm
Crystal system ... tetragonal

The structure in extended XYZ format:
```
16
Lattice="5.7471 0.0000 0.0000 0.0000 5.7471 0.0000 0.0000 0.0000 7.9947" Properties=species:S:1:pos:R:3 pbc="T T T"
Y 0.0000 0.0000 0.0000
Ho 2.8735 2.8735 0.0000
Pd 0.0000 0.0000 3.9973
Pd 0.0000 2.8735 0.0000
Pd 0.0000 2.8735 3.9973
Pd 1.4406 1.4406 2.0662
Pd 1.4406 1.4406 5.9284
Pd 1.4406 4.3065 2.0662
Pd 1.4406 4.3065 5.9284
Pd 2.8735 0.0000 0.0000
Pd 2.8735 0.0000 3.9973
Pd 2.8735 2.8735 3.9973
Pd 4.3065 1.4406 2.0662
Pd 4.3065 1.4406 5.9284
Pd 4.3065 4.3065 2.0662
Pd 4.3065 4.3065 5.9284
```

This record from Alexandria via LeMat-Bulk describes a relaxed ZnSbIr2 crystal. The functional is PBE.

Calculated values
Space group ... Cm
E above lowest polymorph ... 54 meV/atom
Crystal system ... monoclinic
Formation energy (no corrections) ... 12.9 meV per atom

The structure in extended XYZ format:
```
4
Lattice="4.7457 -1.5549 0.0000 4.7457 1.5549 0.0000 -1.2069 0.0000 4.3977" Properties=species:S:1:pos:R:3 pbc="T T T"
Zn 0.0000 0.0000 0.0000
Sb 6.7263 0.0000 1.6939
Ir 1.4060 0.0000 3.9727
Ir 4.1208 0.0000 2.2340
```

no.,raw total energy (eV per atom)
1,-8.990
2,-2.535
3,-5.645
4,-5.767